This record from Alexandria via LeMat-Bulk describes a geometry-optimized FeSi2Cl structure. The functional is PBE.

Computed properties:
D(E_F): 1.931 states/eV/cell
uncorrected energy: -5.19 eV/atom
energy above the most stable polymorph in this dataset: 0.000 eV per atom
crystal system: trigonal
formation energy from raw total energies: 9.35 kJ per mole of atoms
space-group type: R-3m

```
FeSi2Cl
1.0
-1.222 4.419 -5.715
0.451 2.164 -6.985
-2.586 1.807 -6.613
Cl Fe Si
1 1 2
direct
0.250 0.250 0.250 Cl
0.750 0.750 0.750 Fe
0.486 0.486 0.486 Si
0.014 0.014 0.014 Si
```